Entry 1:
La8Ru2Pt: relaxed, PBE.

Unit cell a=8.426 b=13.405 c=6.261 alpha=90.00 beta=110.26 gamma=90.00
Space group C2/m (No. 12)
One atom of each set of equivalent atoms:
La: 0.000 0.219 0.000 x4
La: 0.132 0.500 0.820 x4
La: 0.215 0.126 0.575 x8
Ru: 0.000 0.290 0.500 x4
Pt: 0.000 0.000 0.000 x2

Calculated values
- V (Å³/atom) = 30.15
- energy of formation (eV per atom) = -0.30


Entry 2:
LaRuPt3: relaxed, PBE.

Unit cell a=4.870 b=4.870 c=4.870 alpha=90.00 beta=90.00 gamma=90.00
Space group Pm-3m (No. 221)
One atom of each set of equivalent atoms:
La: 0.000 0.000 0.000 x1
Ru: 0.500 0.500 0.500 x1
Pt: 0.000 0.500 0.500 x3

Calculated values
- V (Å³/atom) = 23.10
- energy above the lowest structure with this stoichiometry (meV per atom) = 0
- energy of formation (eV per atom) = 0.11


Entry 3:
La8RuPt2: relaxed, PBE.

Unit cell a=8.958 b=12.578 c=6.716 alpha=90.00 beta=111.36 gamma=90.00
Space group Cm (No. 8)
One atom of each set of equivalent atoms:
La: 0.000 0.000 0.000 x2
La: 0.078 0.364 0.814 x4
La: 0.145 0.132 0.553 x4
La: 0.221 0.500 0.400 x2
La: 0.361 0.180 0.197 x4
Ru: 0.359 0.000 0.397 x2
Pt: 0.363 0.317 0.696 x4

Calculated values
- V (Å³/atom) = 32.03
- energy of formation (eV per atom) = -0.45


Entry 4:
La2RuPt: relaxed, PBE.

Unit cell a=3.677 b=4.362 c=12.090 alpha=90.00 beta=90.00 gamma=90.00
Space group Imm2 (No. 44)
One atom of each set of equivalent atoms:
La: 0.000 0.000 0.000 x2
La: 0.000 0.500 0.217 x2
Ru: 0.000 0.000 0.448 x2
Pt: 0.000 0.500 0.778 x2

Calculated values
- V (Å³/atom) = 24.24
- energy of formation (eV per atom) = -0.47


Entry 5:
La5RuPt2: relaxed, PBE.

Unit cell a=5.895 b=7.188 c=7.331 alpha=82.00 beta=66.32 gamma=65.88
Space group P-1 (No. 2)
One atom of each set of equivalent atoms:
La: 0.000 0.000 0.000 x1
La: 0.208 0.379 0.205 x2
La: 0.402 0.817 0.378 x2
Ru: 0.500 0.000 0.000 x1
Pt: 0.090 0.213 0.607 x2

Calculated values
- V (Å³/atom) = 32.44
- energy of formation (eV per atom) = -0.69


Entry 6:
La2RuPt: relaxed, PBE.

Unit cell a=3.568 b=3.586 c=7.350 alpha=90.00 beta=90.00 gamma=90.00
Space group Pmmm (No. 47)
One atom of each set of equivalent atoms:
La: 0.000 0.000 0.243 x2
Ru: 0.500 0.500 0.000 x1
Pt: 0.500 0.500 0.500 x1

Calculated values
- V (Å³/atom) = 23.51
- energy of formation (eV per atom) = -0.63


Entry 7:
LaRu2Pt2: relaxed, PBE.

Unit cell a=4.300 b=4.300 c=10.589 alpha=90.00 beta=90.00 gamma=90.00
Space group I4/mmm (No. 139)
One atom of each set of equivalent atoms:
La: 0.000 0.000 0.000 x2
Ru: 0.000 0.000 0.395 x4
Pt: 0.000 0.500 0.250 x4

Calculated values
- V (Å³/atom) = 19.58
- energy above the lowest structure with this stoichiometry (meV per atom) = 0
- energy of formation (eV per atom) = -0.24


Entry 8:
LaSi2RuPt: relaxed, PBE.

Unit cell a=4.559 b=4.559 c=5.291 alpha=90.00 beta=90.00 gamma=90.00
Space group P4/mmm (No. 123)
One atom of each set of equivalent atoms:
La: 0.000 0.000 0.000 x1
Si: 0.000 0.500 0.500 x2
Ru: 0.500 0.500 0.000 x1
Pt: 0.500 0.500 0.500 x1

Calculated values
- V (Å³/atom) = 21.99
- uncorrected formation energy (kJ per mole of atoms) = 18.1


Entry 9:
La6Tl2RuPt: relaxed, PBE.

Unit cell a=11.164 b=11.160 c=7.900 alpha=90.00 beta=134.87 gamma=90.00
Space group C2/m (No. 12)
One atom of each set of equivalent atoms:
La: 0.000 0.245 0.000 x4
La: 0.245 0.000 0.000 x4
La: 0.246 0.000 0.492 x4
Tl: 0.000 0.250 0.500 x4
Ru: 0.000 0.000 0.000 x2
Pt: 0.000 0.500 0.000 x2

Calculated values
- V (Å³/atom) = 34.88
- energy of formation (eV per atom) = -0.38


Entry 10:
LaZr2RuPt: relaxed, PBE.

Unit cell a=5.065 b=5.065 c=5.069 alpha=90.00 beta=90.00 gamma=90.00
Space group P4/mmm (No. 123)
One atom of each set of equivalent atoms:
La: 0.000 0.000 0.000 x1
Zr: 0.000 0.500 0.500 x2
Ru: 0.500 0.500 0.000 x1
Pt: 0.500 0.500 0.500 x1

Calculated values
- V (Å³/atom) = 26.01
- energy of formation (eV per atom) = 0.33


Entry 11:
La2PtS: relaxed, PBE.

Unit cell a=7.524 b=7.524 c=8.399 alpha=90.00 beta=90.00 gamma=90.00
Space group I-42d (No. 122)
One atom of each set of equivalent atoms:
La: 0.249 0.250 0.125 x8
Pt: 0.000 0.000 0.000 x4
S: 0.000 0.000 0.500 x4

Calculated values
- V (Å³/atom) = 29.72
- uncorrected formation energy (kJ per mole of atoms) = -124.4


Entry 12:
LaPtS2: relaxed, PBE.

Unit cell a=5.140 b=5.140 c=14.742 alpha=90.00 beta=90.00 gamma=90.00
Space group I-42d (No. 122)
One atom of each set of equivalent atoms:
La: 0.000 0.000 0.000 x4
Pt: 0.000 0.000 0.500 x4
S: 0.183 0.250 0.625 x8

Calculated values
- V (Å³/atom) = 24.34
- energy above the lowest structure with this stoichiometry (meV per atom) = 0
- uncorrected formation energy (kJ per mole of atoms) = -100.7